# 1
A plane-wave DFT calculation with PBE was carried out for La2TaNiRu after structural relaxation.

Unit cell a=5.565 b=5.565 c=4.443 alpha=90.00 beta=90.00 gamma=90.00
Space group P4/mmm (No. 123)
Inequivalent atoms, fractional coordinates:
La: 0.000 0.500 0.000 (multiplicity 2)
Ta: 0.000 0.000 0.000 (multiplicity 1)
Ni: 0.000 0.000 0.500 (multiplicity 1)
Ru: 0.500 0.500 0.500 (multiplicity 1)

**Total energy**: -31.3 eV/cell
**Formation energy**: 1.102 eV per atom
**DOS(E_F)**: 1.16 states/eV/atom



# 2
A plane-wave DFT calculation with PBE was carried out for La2TiNiRu after structural relaxation.

Unit cell a=5.541 b=5.541 c=4.396 alpha=90.00 beta=90.00 gamma=90.00
Space group P4/mmm (No. 123)
Inequivalent atoms, fractional coordinates:
La: 0.000 0.500 0.000 (multiplicity 2)
Ti: 0.000 0.000 0.000 (multiplicity 1)
Ni: 0.500 0.500 0.500 (multiplicity 1)
Ru: 0.000 0.000 0.500 (multiplicity 1)

**Total energy**: -29.3 eV/cell
**Formation energy**: 0.704 eV per atom
**DOS(E_F)**: 1.54 states/eV/atom



# 3
A plane-wave DFT calculation with PBE was carried out for La2Zn3Ni12Ru after structural relaxation.

Unit cell a=6.0383 b=6.0383 c=26.1972 alpha=90.00 beta=90.00 gamma=120.00
Space group R-3m (No. 166, hexagonal axes)
Inequivalent atoms, fractional coordinates:
La: 0.0000 0.0000 0.1534 (multiplicity 6)
Zn: 0.0000 0.5000 0.0000 (multiplicity 9)
Ni: 0.0532 0.5266 0.0945 (multiplicity 18)
Ni: 0.0726 0.5363 0.6161 (multiplicity 18)
Ru: 0.0000 0.0000 0.5000 (multiplicity 3)

**Total energy**: -270.1 eV/cell
**Formation energy**: 0.127 eV per atom
**DOS(E_F)**: 1.30 states/eV/atom



# 4
A plane-wave DFT calculation with PBE was carried out for La2Ni2S after structural relaxation.

Unit cell a=7.467 b=7.467 c=3.708 alpha=90.00 beta=90.00 gamma=90.00
Space group P4/mbm (No. 127)
Inequivalent atoms, fractional coordinates:
La: 0.190 0.310 0.000 (multiplicity 4)
Ni: 0.112 0.612 0.500 (multiplicity 4)
S: 0.000 0.000 0.500 (multiplicity 2)

**Total energy**: -58.1 eV/cell
**DOS(E_F)**: 0.27 states/eV/atom
**Raw formation energy**: -0.697 eV/atom



# 5
A plane-wave DFT calculation with PBE was carried out for La2NiS after structural relaxation.

Unit cell a=4.0297 b=4.0297 c=22.2420 alpha=90.00 beta=90.00 gamma=120.00
Space group R3m (No. 160, hexagonal axes)
Inequivalent atoms, fractional coordinates:
La: 0.0000 0.0000 0.0000 (multiplicity 3)
La: 0.0000 0.0000 0.1796 (multiplicity 3)
Ni: 0.0000 0.0000 0.5905 (multiplicity 3)
S: 0.0000 0.0000 0.4222 (multiplicity 3)

**Total energy**: -71.8 eV/cell
**DOS(E_F)**: 0.66 states/eV/atom
**Raw formation energy**: -1.043 eV/atom



# 6
A plane-wave DFT calculation with PBE was carried out for La2NiS after structural relaxation.

Unit cell a=4.012 b=23.585 c=4.198 alpha=90.00 beta=90.00 gamma=90.00
Space group Cmcm (No. 63)
Inequivalent atoms, fractional coordinates:
La: 0.000 0.065 0.250 (multiplicity 4)
La: 0.000 0.313 0.250 (multiplicity 4)
Ni: 0.000 0.467 0.250 (multiplicity 4)
S: 0.000 0.189 0.250 (multiplicity 4)

**Total energy**: -98.3 eV/cell
**DOS(E_F)**: 0.81 states/eV/atom
**Raw formation energy**: -1.205 eV/atom



# 7
A plane-wave DFT calculation with PBE was carried out for La2NiS after structural relaxation.

Unit cell a=7.350 b=7.350 c=8.158 alpha=90.00 beta=90.00 gamma=90.00
Space group I-42d (No. 122)
Inequivalent atoms, fractional coordinates:
La: 0.233 0.750 0.125 (multiplicity 8)
Ni: 0.000 0.000 0.000 (multiplicity 4)
S: 0.000 0.000 0.500 (multiplicity 4)

**Total energy**: -92.9 eV/cell
**DOS(E_F)**: 0.73 states/eV/atom
**Raw formation energy**: -0.864 eV/atom



# 8
A plane-wave DFT calculation with PBE was carried out for LaNiS2 after structural relaxation.

Unit cell a=6.740 b=6.740 c=6.740 alpha=90.00 beta=90.00 gamma=90.00
Space group Fm-3m (No. 225)
Inequivalent atoms, fractional coordinates:
La: 0.000 0.000 0.000 (multiplicity 4)
Ni: 0.000 0.000 0.500 (multiplicity 4)
S: 0.250 0.250 0.250 (multiplicity 8)

**Total energy**: -90.7 eV/cell
**DOS(E_F)**: 1.96 states/eV/atom
**Raw formation energy**: -0.930 eV/atom



# 9
A plane-wave DFT calculation with PBE was carried out for LaNiS2 after structural relaxation.

Unit cell a=4.4575 b=4.4575 c=20.6357 alpha=90.00 beta=90.00 gamma=120.00
Space group R-3m (No. 166, hexagonal axes)
Inequivalent atoms, fractional coordinates:
La: 0.0000 0.0000 0.0000 (multiplicity 3)
Ni: 0.0000 0.0000 0.5000 (multiplicity 3)
S: 0.0000 0.0000 0.3978 (multiplicity 6)

**Total energy**: -70.1 eV/cell
**DOS(E_F)**: 5.68 states/eV/atom
**Raw formation energy**: -1.103 eV/atom



# 10
A plane-wave DFT calculation with PBE was carried out for LaNiS2 after structural relaxation.

Unit cell a=5.426 b=5.426 c=12.868 alpha=90.00 beta=90.00 gamma=90.00
Space group I-42d (No. 122)
Inequivalent atoms, fractional coordinates:
La: 0.000 0.000 0.000 (multiplicity 4)
Ni: 0.000 0.000 0.500 (multiplicity 4)
S: 0.170 0.250 0.625 (multiplicity 8)

**Total energy**: -93.5 eV/cell
**DOS(E_F)**: 0.35 states/eV/atom
**Raw formation energy**: -1.102 eV/atom



# 11
A plane-wave DFT calculation with PBE was carried out for LaScNiS3 after structural relaxation.

Unit cell a=7.776 b=3.786 c=8.335 alpha=90.00 beta=104.37 gamma=90.00
Space group P2_1/m (No. 11)
Inequivalent atoms, fractional coordinates:
La: 0.190 0.250 0.247 (multiplicity 2)
Sc: 0.323 0.750 0.831 (multiplicity 2)
Ni: 0.094 0.250 0.594 (multiplicity 2)
S: 0.104 0.250 0.866 (multiplicity 2)
S: 0.221 0.750 0.520 (multiplicity 2)
S: 0.439 0.750 0.160 (multiplicity 2)

**Total energy**: -79.2 eV/cell
**DOS(E_F)**: 0.24 states/eV/atom
**Raw formation energy**: -1.698 eV/atom



# 12
A plane-wave DFT calculation with PBE was carried out for La2ScNiS5 after structural relaxation.

Unit cell a=3.846 b=16.429 c=11.832 alpha=90.00 beta=90.00 gamma=90.00
Space group Cmc2_1 (No. 36)
Inequivalent atoms, fractional coordinates:
La: 0.000 0.117 0.000 (multiplicity 4)
La: 0.000 0.124 0.356 (multiplicity 4)
Sc: 0.000 0.179 0.680 (multiplicity 4)
Ni: 0.000 0.443 0.086 (multiplicity 4)
S: 0.000 0.024 0.674 (multiplicity 4)
S: 0.000 0.306 0.333 (multiplicity 4)
S: 0.000 0.309 0.029 (multiplicity 4)
S: 0.000 0.339 0.677 (multiplicity 4)
S: 0.000 0.499 0.915 (multiplicity 4)

**Total energy**: -234.7 eV/cell
**DOS(E_F)**: 0.45 states/eV/atom
**Raw formation energy**: -1.785 eV/atom



Please write out number 7 again, unchanged.
A plane-wave DFT calculation with PBE was carried out for La2NiS after structural relaxation.

Unit cell a=7.350 b=7.350 c=8.158 alpha=90.00 beta=90.00 gamma=90.00
Space group I-42d (No. 122)
Inequivalent atoms, fractional coordinates:
La: 0.233 0.750 0.125 (multiplicity 8)
Ni: 0.000 0.000 0.000 (multiplicity 4)
S: 0.000 0.000 0.500 (multiplicity 4)

**Total energy**: -92.9 eV/cell
**DOS(E_F)**: 0.73 states/eV/atom
**Raw formation energy**: -0.864 eV/atom